1.
First-principles (GGA-PBE) data for an optimized crystal structure of La2InAg4Ge3, as listed in Alexandria via LeMat-Bulk.

Cell lengths 4.3889, 4.3889, 11.6004 Å; angles 90.00, 90.00, 90.00 degrees
With the nearest neighbours (Å) after each atom.
Space group P-4m2 (No. 115)
Asymmetric unit:
La1 0.0000 0.5000 0.2299 x2  4 Ge 3.29, 8 Ag 3.42-3.45
In1 0.0000 0.0000 0.5000 x1  4 Ag 2.78, 4 Ge 3.10
Ag1 0.0000 0.0000 0.0000 x1  4 Ge 2.69
Ag2 0.0000 0.5000 0.6469 x2  3 Ge 2.54-2.78, 2 In 2.78
Ag3 0.5000 0.5000 0.0000 x1  4 Ge 2.69
Ge1 0.0000 0.5000 0.8655 x2  5 Ag 2.54-2.69
Ge2 0.5000 0.5000 0.5000 x1  4 Ag 2.78, 4 In 3.10

Results
**Magnetic moment**: 0.0 μB/cell
**ΔH_f (0 K)**: -0.391 eV per atom

2.
First-principles (GGA-PBE) data for an optimized crystal structure of Co2ReNi, as listed in Alexandria via LeMat-Bulk.

Cell lengths 6.3738, 6.3738, 5.0379 Å; angles 90.00, 90.00, 90.00 degrees
With the nearest neighbours (Å) after each atom.
Space group I-42d (No. 122)
Asymmetric unit:
Co1 0.2417 0.7500 0.1250 x8  2 Re 2.30, 2 Ni 2.38, 2 Co 2.52
Re1 0.0000 0.0000 0.0000 x4  4 Co 2.30, 2 Ni 2.52
Ni1 0.0000 0.0000 0.5000 x4  4 Co 2.38, 2 Re 2.52

Results
**Magnetic moment**: 0.0 μB/cell
**Energy above the lowest structure with this stoichiometry**: 2.45 eV/f.u.
**ΔH_f (0 K)**: 0.623 eV per atom